Computed, not measured: crystalline ZrNiPt at its relaxed geometry at the PBE level of DFT.

Lattice parameters (Å, degrees): 3.3970 3.3970 4.8753 110.39 110.39 90.00
Last column: nearest neighbours and their distance in Å.
Element x y z (fractional)
Pt: 0.9512 0.9512 0.9023  5 Ni 2.78-2.81, 5 Zr 2.80-2.81
Zr: 0.6196 0.6196 0.2392  5 Ni 2.76-2.89, 5 Pt 2.80-2.81
Ni: 0.2792 0.2792 0.5585  5 Zr 2.76-2.89, 5 Pt 2.78-2.81

Values from the calculation:
* symmetry: I4mm
* ΔH_f (0 K): -707 meV/atom


Computed, not measured: crystalline ZrNiPt at its relaxed geometry at the PBE level of DFT.

Lattice parameters (Å, degrees): 4.3506 4.3506 4.3506 60.00 60.00 60.00
Last column: nearest neighbours and their distance in Å.
Element x y z (fractional)
Pt: 0.5000 0.5000 0.5000  4 Zr 2.66
Ni: 0.0000 0.0000 0.0000  4 Zr 2.66
Zr: 0.7500 0.7500 0.7500  4 Ni 2.66, 4 Pt 2.66

Values from the calculation:
* symmetry: F-43m
* ΔH_f (0 K): -239 meV/atom


Computed, not measured: crystalline ZrNiPt at its relaxed geometry at the PBE level of DFT.

Lattice parameters (Å, degrees): 4.0833 5.4036 4.8219 90.00 115.05 90.00
Last column: nearest neighbours and their distance in Å.
Element x y z (fractional)
Zr: 0.3084 0.2500 0.1168  5 Ni 2.64-2.79
Zr: 0.6916 0.7500 0.8832  5 Ni 2.64-2.79
Pt: 0.0000 0.0000 0.5000  4 Ni 2.63, 2 Pt 2.70
Pt: 0.0000 0.5000 0.5000  4 Ni 2.63, 2 Pt 2.70
Ni: 0.3891 0.7500 0.2782  4 Pt 2.63, 5 Zr 2.64-2.79
Ni: 0.6109 0.2500 0.7218  4 Pt 2.63, 5 Zr 2.64-2.79

Values from the calculation:
* symmetry: Cmcm
* ΔH_f (0 K): -776 meV/atom


Computed, not measured: crystalline ZrNi3Pt at its relaxed geometry at the PBE level of DFT.

Lattice parameters (Å, degrees): 4.4574 4.4574 4.4574 90.00 90.00 90.00
Last column: nearest neighbours and their distance in Å.
Element x y z (fractional)
Ni: 0.5000 0.0000 0.0000  2 Zr 2.23
Ni: 0.0000 0.5000 0.0000  2 Zr 2.23
Ni: 0.0000 0.0000 0.5000  2 Zr 2.23
Pt: 0.5000 0.5000 0.5000  12 Ni 3.15
Zr: 0.0000 0.0000 0.0000  6 Ni 2.23

Values from the calculation:
* symmetry: Pm-3m
* ΔH_f (0 K): 1208 meV/atom


Computed, not measured: crystalline ZrNi3Pt at its relaxed geometry at the PBE level of DFT.

Lattice parameters (Å, degrees): 6.0830 6.0830 6.0830 112.60 134.17 85.35
Last column: nearest neighbours and their distance in Å.
Element x y z (fractional)
Pt: 0.5000 0.5000 0.0000  6 Ni 2.50-2.57
Pt: 0.5000 0.0000 0.5000  6 Ni 2.50-2.57
Ni: 0.7069 0.9569 0.2500  6 Ni 2.46-2.49, 2 Pt 2.50, 1 Zr 2.60
Ni: 0.5000 0.3139 0.3139  5 Ni 2.37-2.51, 2 Pt 2.57
Ni: 0.0000 0.6861 0.1861  5 Ni 2.37-2.51, 2 Pt 2.57
Ni: 0.0000 0.3139 0.8139  5 Ni 2.37-2.51, 2 Pt 2.57
Ni: 0.5000 0.6861 0.6861  5 Ni 2.37-2.51, 2 Pt 2.57
Ni: 0.2931 0.0431 0.7500  6 Ni 2.46-2.49, 2 Pt 2.50, 1 Zr 2.60
Zr: 0.9972 0.2472 0.2500  5 Ni 2.60-2.84, 4 Pt 2.91
Zr: 0.0028 0.7528 0.7500  5 Ni 2.60-2.84, 4 Pt 2.91

Values from the calculation:
* symmetry: Imma
* ΔH_f (0 K): -377 meV/atom


Computed, not measured: crystalline Zr2Ni6Pt at its relaxed geometry at the PBE level of DFT.

Lattice parameters (Å, degrees): 5.7939 5.0181 5.0181 59.86 89.60 89.60
Last column: nearest neighbours and their distance in Å.
Element x y z (fractional)
Pt: 0.0000 0.0000 0.0000  6 Ni 2.48-2.49
Zr: 0.1535 0.3331 0.3331  6 Ni 2.72-2.73, 3 Pt 3.02-3.04
Zr: 0.8465 0.6669 0.6669  6 Ni 2.72-2.73, 3 Pt 3.02-3.04
Ni: 0.3386 0.3493 0.8246  6 Ni 2.38-2.63, 1 Pt 2.48
Ni: 0.6614 0.1754 0.6507  6 Ni 2.38-2.63, 1 Pt 2.48
Ni: 0.6586 0.1756 0.1756  6 Ni 2.38-2.63, 1 Pt 2.49
Ni: 0.6614 0.6507 0.1754  6 Ni 2.38-2.63, 1 Pt 2.48
Ni: 0.3414 0.8244 0.8244  6 Ni 2.38-2.63, 1 Pt 2.49
Ni: 0.3386 0.8246 0.3493  6 Ni 2.38-2.63, 1 Pt 2.48

Values from the calculation:
* symmetry: C2/m
* ΔH_f (0 K): -379 meV/atom


Computed, not measured: crystalline ZrNi3Pt at its relaxed geometry at the PBE level of DFT.

Lattice parameters (Å, degrees): 4.1194 5.4558 6.3442 90.00 90.00 90.00
Last column: nearest neighbours and their distance in Å.
Element x y z (fractional)
Zr: 0.5000 0.0000 0.2335  6 Ni 2.61-2.77, 2 Pt 2.90
Zr: 0.0000 0.5000 0.7665  6 Ni 2.61-2.77, 2 Pt 2.90
Ni: 0.5000 0.7924 0.7712  2 Ni 2.27-2.42
Ni: 0.0000 0.7076 0.2288  2 Ni 2.27-2.42
Ni: 0.5000 0.2076 0.7712  2 Ni 2.27-2.42
Ni: 0.5000 0.5000 0.0587  6 Ni 2.42-2.59, 1 Pt 2.45
Ni: 0.0000 0.2924 0.2288  2 Ni 2.27-2.42
Ni: 0.0000 0.0000 0.9413  6 Ni 2.42-2.59, 1 Pt 2.45
Pt: 0.0000 0.0000 0.5547  7 Ni 2.45-2.72
Pt: 0.5000 0.5000 0.4453  7 Ni 2.45-2.72

Values from the calculation:
* symmetry: Pmmn
* ΔH_f (0 K): -328 meV/atom


Computed, not measured: crystalline ZrNiPt at its relaxed geometry at the PBE level of DFT.

Lattice parameters (Å, degrees): 5.5579 3.8656 3.5222 90.01 90.01 45.94
Last column: nearest neighbours and their distance in Å.
Element x y z (fractional)
Pt: 0.0000 0.5000 0.0000  4 Ni 2.61, 4 Zr 2.78
Zr: 0.5000 0.5000 0.0000  4 Ni 2.66, 4 Pt 2.78
Ni: 0.0000 0.0000 0.5000  4 Pt 2.61, 4 Zr 2.66

Values from the calculation:
* symmetry: Pmmm
* ΔH_f (0 K): -375 meV/atom


- The highest ΔH_f (0 K) belongs to which entry?
  number 4